This record from Alexandria via LeMat-Bulk describes a PBEsol-optimized structure of CoAsSe2. The functional is meta-GGA SCAN.

Cell: 3.460 4.704 8.394 Å, 90.00 90.00 90.00°
Space group Amm2 (No. 38)
Symmetry-distinct sites (fractional):
Co 0.000 0.000 0.000
As 0.500 0.000 0.813
Se 0.000 0.000 0.524
Se 0.500 0.000 0.189

## Properties
Electronic total energy ... -0.7149 hartree per atom
Magnetization ... 0.000 μB/f.u.
E_form (uncorrected) ... -41 meV/atom
Density of states at the Fermi level ... 3.356 states/eV/cell